Entry 1:
Entry from Alexandria: a relaxed structure of ZnSb3 (GGA-PBE).

Unit cell a=3.898 b=4.509 c=11.705 alpha=90.00 beta=90.00 gamma=90.00
Space group Immm (No. 71)
One atom of each set of equivalent atoms:
Zn  0.000  0.000  0.000 x2
Sb  0.000  0.000  0.500 x2
Sb  0.000  0.500  0.308 x4

Computed properties:
formation energy without anion corrections = 168.5 meV/atom
crystal system = orthorhombic
energy above the most stable polymorph in this dataset = 82 meV/atom



Entry 2:
Entry from Alexandria: a relaxed structure of Zn5Sb (GGA-PBE).

Unit cell a=4.252 b=12.096 c=4.161 alpha=90.00 beta=90.00 gamma=90.00
Space group Cmmm (No. 65)
One atom of each set of equivalent atoms:
Zn  0.000  0.000  0.000 x2
Zn  0.000  0.176  0.500 x4
Zn  0.000  0.320  0.000 x4
Sb  0.000  0.500  0.500 x2

Computed properties:
formation energy without anion corrections = 117.6 meV/atom
crystal system = orthorhombic
energy above the most stable polymorph in this dataset = 8 meV/atom



Entry 3:
Entry from Alexandria: a relaxed structure of Zn2Sb (GGA-PBE).

Unit cell a=3.204 b=4.077 c=9.327 alpha=90.00 beta=90.00 gamma=90.00
Space group Immm (No. 71)
One atom of each set of equivalent atoms:
Zn  0.000  0.000  0.181 x4
Sb  0.000  0.000  0.500 x2

Computed properties:
formation energy without anion corrections = 189.6 meV/atom
crystal system = orthorhombic



formation energy without anion corrections of number 2 (Zn5Sb)?
117.6 meV/atom